# CaFe2BiO6 | Alexandria | GGA+U | optimized geometry
data_CaFe2BiO6
_chemical_formula_sum 'Ca3 Fe6 Bi3 O18'
_symmetry_space_group_name_H-M 'R 3'
_symmetry_Int_Tables_number 146
_symmetry_space_group_name_Hall 'R 3'
_cell_length_a 5.5288
_cell_length_b 5.5288
_cell_length_c 14.0699
_cell_angle_alpha 90.00
_cell_angle_beta 90.00
_cell_angle_gamma 120.00
loop_
_atom_site_label
_atom_site_type_symbol
_atom_site_fract_x
_atom_site_fract_y
_atom_site_fract_z
Ca1 Ca 0.0000 0.0000 0.0000
Fe1 Fe 0.0000 0.0000 0.2282
Fe2 Fe 0.0000 0.0000 0.7287
Bi1 Bi 0.0000 0.0000 0.5115
O1 O 0.0672 0.3426 0.7986
O2 O 0.0854 0.7332 0.2946
# Offset from the most stable computed form (meV per atom): 0.0
# Volume (Å³/cell): 372.5